! Hf2NbFeO (GGA+U, relaxed); values from VASP
&SYSTEM
  ibrav = 0, nat = 5, ntyp = 4
/
ATOMIC_SPECIES
Hf 178.49 Hf.upf
Nb 92.91 Nb.upf
Fe 55.84 Fe.upf
O 16.00 O.upf
CELL_PARAMETERS angstrom
4.457 0.000 0.000
0.000 4.457 0.000
0.000 0.000 4.157
ATOMIC_POSITIONS crystal
Hf 0.000 0.500 0.000
Hf 0.500 0.000 0.000
Nb 0.000 0.000 0.500
Fe 0.500 0.500 0.500
O 0.000 0.000 0.000
! energy: -8.756 eV per atom
! total moment: 2.7 μB/f.u.